Computed, not measured: a geometry-optimized GaCo structure at the GGA-PBE level of DFT.

a b c (Å): 4.162 2.761 2.761
angles (deg): 59.99 109.34 109.34
Site moments in Bohr magnetons follow the coordinates.
Sites, in units of the cell vectors:
Ga (0.502, 0.487, 0.224)  -0.02
Co (0.002, 0.987, 0.724)  0.84

ΔE_f: -0.09 eV per atom
V: 25 Å³/cell